1.
Density functional theory data (PBE) for crystalline ZnCd2Rh at its relaxed geometry.

## Properties
Raw total energy in eV for the cell shown: -10.7
Energy relative to the elements in eV per formula unit: -0.19

a b c (Å): 4.0038 3.0573 6.5490
angles (deg): 60.75 90.00 90.00
Closest atoms and distances in Å follow each position.
Fractional coordinates of all 4 atoms:
Cd: 0.0000 0.0011 0.0064  4 Cd 2.78-3.06, 4 Rh 2.87-2.88, 4 Zn 2.88-2.95
Cd: 0.0000 0.4989 0.4936  4 Cd 2.78-3.06, 4 Rh 2.87-2.88, 4 Zn 2.88-2.95
Rh: 0.5000 0.2500 0.2500  2 Zn 2.86, 8 Cd 2.87-2.88, 2 Rh 3.06
Zn: 0.5000 0.7500 0.7500  2 Rh 2.86, 8 Cd 2.88-2.95, 2 Zn 3.06



2.
Density functional theory data (PBE) for crystalline BiPdC2 at its relaxed geometry.

## Properties
Raw total energy in eV for the cell shown: -43.3
Energy relative to the elements in eV per formula unit: 5.85

a b c (Å): 5.0431 5.0431 6.3642
angles (deg): 66.66 66.66 90.00
Closest atoms and distances in Å follow each position.
Fractional coordinates of all 8 atoms:
C: 0.5670 0.1250 0.2500  2 Pd 2.06
C: 0.1830 0.6250 0.2500  2 Pd 2.06
C: 0.3750 0.4330 0.7500  2 Pd 2.06
C: 0.8750 0.8170 0.7500  2 Pd 2.06
Bi: 0.0000 0.0000 0.0000  4 C 2.40
Bi: 0.7500 0.2500 0.5000  4 C 2.40
Pd: 0.5000 0.5000 0.0000  4 C 2.06
Pd: 0.2500 0.7500 0.5000  4 C 2.06



Repeat the second record exactly.
Density functional theory data (PBE) for crystalline BiPdC2 at its relaxed geometry.

## Properties
Raw total energy in eV for the cell shown: -43.3
Energy relative to the elements in eV per formula unit: 5.85

a b c (Å): 5.0431 5.0431 6.3642
angles (deg): 66.66 66.66 90.00
Closest atoms and distances in Å follow each position.
Fractional coordinates of all 8 atoms:
C: 0.5670 0.1250 0.2500  2 Pd 2.06
C: 0.1830 0.6250 0.2500  2 Pd 2.06
C: 0.3750 0.4330 0.7500  2 Pd 2.06
C: 0.8750 0.8170 0.7500  2 Pd 2.06
Bi: 0.0000 0.0000 0.0000  4 C 2.40
Bi: 0.7500 0.2500 0.5000  4 C 2.40
Pd: 0.5000 0.5000 0.0000  4 C 2.06
Pd: 0.2500 0.7500 0.5000  4 C 2.06



> The lowest raw total energy belongs to which entry?

BiPdC2



> The lowest raw total energy belongs to which entry?

BiPdC2